[1]
! TcIr2Ru SCAN single point on PBEsol structure; values from VASP
&SYSTEM
  ibrav = 0, nat = 4, ntyp = 3
/
ATOMIC_SPECIES
Tc 98.00 Tc.upf
Ir 192.22 Ir.upf
Ru 101.07 Ru.upf
CELL_PARAMETERS angstrom
2.6845 -3.8304 0.0000
2.6845 3.8304 0.0000
0.0000 0.0000 2.6815
ATOMIC_POSITIONS angstrom
Tc 0.0000 0.0000 0.0000
Ir 1.3423 1.9152 1.3408
Ir 1.3423 -1.9152 1.3408
Ru 2.6845 0.0000 0.0000
! - Excess energy over the best structure of this formula in the dataset: 8 meV per atom
! - E_form: -0.16 eV/atom
! - VASP energy: -53.18 eV per atom
! - Crystal system: orthorhombic

[2]
! Sc2TlTe SCAN single point on PBEsol structure; values from VASP
&SYSTEM
  ibrav = 0, nat = 4, ntyp = 3
/
ATOMIC_SPECIES
Sc 44.96 Sc.upf
Tl 204.38 Tl.upf
Te 127.60 Te.upf
CELL_PARAMETERS angstrom
1.7326 1.0003 9.7070
-1.7326 1.0003 9.7070
0.0000 -2.0006 9.7070
ATOMIC_POSITIONS angstrom
Sc 0.0000 0.0000 0.0000
Sc 0.0000 0.0000 7.2137
Tl 0.0000 0.0000 14.5214
Te 0.0000 0.0000 21.5353
! - Excess energy over the best structure of this formula in the dataset: 565 meV per atom
! - Formation energy from raw total energies: -1.0 eV/f.u.
! - VASP energy: -34.77 eV per atom
! - Crystal system: trigonal

[3]
! ZrOs2Se SCAN single point on PBEsol structure; values from VASP
&SYSTEM
  ibrav = 0, nat = 4, ntyp = 3
/
ATOMIC_SPECIES
Zr 91.22 Zr.upf
Os 190.23 Os.upf
Se 78.96 Se.upf
CELL_PARAMETERS angstrom
2.9506 0.0000 0.0000
0.0000 4.5838 0.0000
-0.4317 0.0000 4.7638
ATOMIC_POSITIONS angstrom
Zr 0.0000 0.0000 0.0000
Os 0.5986 2.2919 3.5222
Os 1.9203 2.2919 1.2416
Se 1.2595 0.0000 2.3819
! - Formation energy from raw total energies: 0.6 eV/f.u.
! - VASP energy: -48.49 eV per atom
! - Crystal system: monoclinic